1.
! TcOF2 PBE optimized geometry; values from VASP
&SYSTEM
  ibrav = 0, nat = 8, ntyp = 3
/
ATOMIC_SPECIES
Tc 98.00 Tc.upf
O 16.00 O.upf
F 19.00 F.upf
CELL_PARAMETERS angstrom
-1.6192 1.6192 7.6124
1.6192 -1.6192 7.6124
1.6192 1.6192 -7.6124
ATOMIC_POSITIONS crystal
Tc 0.0000 0.0000 0.0000
Tc 0.7500 0.2500 0.5000
O 0.2500 0.7500 0.5000
O 0.5000 0.5000 0.0000
F 0.0916 0.6250 0.9666
F 0.3750 0.3416 0.4666
F 0.6584 0.1250 0.0334
F 0.8750 0.9084 0.5334
! DOS(E_F)   5.535 states/eV per cell
! DFT total energy   -5.31 eV per atom


2.
! TcO3F PBE optimized geometry; values from VASP
&SYSTEM
  ibrav = 0, nat = 20, ntyp = 3
/
ATOMIC_SPECIES
Tc 98.00 Tc.upf
O 16.00 O.upf
F 19.00 F.upf
CELL_PARAMETERS angstrom
6.1383 0.0000 0.0000
0.0000 5.3392 0.0000
-0.4873 0.0000 9.4684
ATOMIC_POSITIONS crystal
Tc 0.1643 0.1025 0.3643
Tc 0.1643 0.3975 0.8643
Tc 0.8357 0.6025 0.1357
Tc 0.8357 0.8975 0.6357
O 0.0343 0.2483 0.2182
O 0.0343 0.2517 0.7182
O 0.2724 0.1551 0.9601
O 0.2724 0.3449 0.4601
O 0.3827 0.5478 0.8011
O 0.3827 0.9522 0.3011
O 0.6173 0.0478 0.6989
O 0.6173 0.4522 0.1989
O 0.7276 0.6551 0.5399
O 0.7276 0.8449 0.0399
O 0.9657 0.7483 0.2818
O 0.9657 0.7517 0.7818
F 0.1506 0.6299 0.0375
F 0.1506 0.8701 0.5375
F 0.8494 0.1299 0.4625
F 0.8494 0.3701 0.9625
! DOS(E_F)   0.000 states/eV per cell
! DFT total energy   -6.85 eV per atom


3.
! TcOF4 PBE optimized geometry; values from VASP
&SYSTEM
  ibrav = 0, nat = 36, ntyp = 3
/
ATOMIC_SPECIES
Tc 98.00 Tc.upf
O 16.00 O.upf
F 19.00 F.upf
CELL_PARAMETERS angstrom
9.2733 0.0000 0.0000
-4.6366 8.0309 0.0000
0.0000 0.0000 8.3768
ATOMIC_POSITIONS crystal
Tc 0.0628 0.3944 0.2500
Tc 0.3316 0.9372 0.2500
Tc 0.3944 0.3316 0.7500
Tc 0.6056 0.6684 0.2500
Tc 0.6684 0.0628 0.7500
Tc 0.9372 0.6056 0.7500
O 0.1417 0.6858 0.7500
O 0.3142 0.4559 0.7500
O 0.4559 0.1417 0.2500
O 0.5441 0.8583 0.7500
O 0.6858 0.5441 0.2500
O 0.8583 0.3142 0.2500
F 0.0925 0.2104 0.2500
F 0.1178 0.9075 0.2500
F 0.1197 0.4199 0.0328
F 0.1197 0.4199 0.4672
F 0.1448 0.6299 0.2500
F 0.2104 0.1178 0.7500
F 0.3001 0.8803 0.0328
F 0.3001 0.8803 0.4672
F 0.3701 0.5149 0.2500
F 0.4199 0.3001 0.5328
F 0.4199 0.3001 0.9672
F 0.4851 0.8552 0.2500
F 0.5149 0.1448 0.7500
F 0.5801 0.6999 0.0328
F 0.5801 0.6999 0.4672
F 0.6299 0.4851 0.7500
F 0.6999 0.1197 0.5328
F 0.6999 0.1197 0.9672
F 0.7896 0.8822 0.2500
F 0.8552 0.3701 0.7500
F 0.8803 0.5801 0.5328
F 0.8803 0.5801 0.9672
F 0.8822 0.0925 0.7500
F 0.9075 0.7896 0.7500
! DFT total energy   -5.72 eV per atom


- Which of these has the lowest DFT total energy?
  TcO3F


- DFT total energy of number 1 (TcOF2)?
  -5.31 eV per atom


- What is the formula in the third record?
  TcOF4